Record 1
First-principles (PBE) data for a relaxed Cd2CuTc crystal, as listed in Alexandria.

```
4
Lattice="-3.4890 2.3993 1.7964 -0.3734 4.5044 -0.8528 -3.3655 1.5539 -2.7231" Properties=species:S:1:pos:R:3 pbc="T T T"
Tc -3.6140 4.2288 -0.8898
Cu 0.0000 0.0000 0.0000
Cd -1.8070 2.1144 -0.4449
Cd -5.4209 6.3432 -1.3346
```

---

Record 2
First-principles (PBE) data for a relaxed Cd2CuTc crystal, as listed in Alexandria.

```
4
Lattice="4.9854 -0.0054 0.0000 1.6535 4.7032 0.0000 -3.3195 -2.3489 2.8841" Properties=species:S:1:pos:R:3 pbc="T T T"
Cd 0.0000 0.0000 0.0000
Cd 3.3195 2.3489 0.0000
Cu 0.8268 2.3516 1.4421
Tc 2.4927 -0.0027 1.4421
```

---

Spin magnetization across the listed records, respectively: 1.5, 0.0 μB/f.u..
ΔE_f across the listed records, respectively: 490, 470 meV per atom.
Density of states at the Fermi level across the listed records, respectively: 3.35, 2.17 states/eV per cell.